[1]
Here is an optimized crystal structure of LiCeAgF6 from Alexandria via LeMat-Bulk. Energies are from PBE.

Values from the calculation:
Size of the total moment = 0.1 Bohr magnetons per cell
Uncorrected energy = -48.4 eV per formula unit
Space-group type = P4_2nm (102)
Calculated volume = 281.2 Å³ per cell

a b c (Å): 5.2269 5.2269 10.2934
angles (deg): 90.00 90.00 90.00
Element x y z (fractional)
Ag1 0.5000 0.5000 0.4997
Ag2 0.0000 0.0000 0.9997
F1 0.2048 0.7952 0.1870
F2 0.1797 0.8203 0.4997
F3 0.2812 0.2812 0.3137
F4 0.6797 0.6797 0.9997
F5 0.7812 0.2188 0.8137
F6 0.7188 0.7188 0.3137
F7 0.8203 0.1797 0.4997
F8 0.7952 0.2048 0.1870
F9 0.2952 0.2952 0.6870
F10 0.3203 0.3203 0.9997
F11 0.7048 0.7048 0.6870
F12 0.2188 0.7812 0.8137
Ce1 0.5000 0.5000 0.1704
Ce2 0.0000 0.0000 0.6704
Li1 0.0000 0.0000 0.3291
Li2 0.5000 0.5000 0.8291

[2]
Here is an optimized crystal structure of HoErTa from Alexandria via LeMat-Bulk. Energies are from PBE.

Values from the calculation:
Size of the total moment = 0.0 Bohr magnetons per cell
Uncorrected energy = -20.6 eV per formula unit
Space-group type = P4/nmm (129)
E_form = 0.132 eV/atom
Calculated volume = 159.6 Å³ per cell
N(E_F) = 2.97 states/eV/f.u.

a b c (Å): 3.5198 3.5198 12.8824
angles (deg): 90.00 90.00 90.00
Element x y z (fractional)
Ta1 0.0000 0.5000 0.9521
Ta2 0.5000 0.0000 0.0479
Er1 0.0000 0.5000 0.5914
Er2 0.5000 0.0000 0.4086
Ho1 0.0000 0.5000 0.2033
Ho2 0.5000 0.0000 0.7967

[3]
Here is an optimized crystal structure of Cs2HfNbB from Alexandria via LeMat-Bulk. Energies are from PBE.

Values from the calculation:
Size of the total moment = 2.3 Bohr magnetons per cell
Uncorrected energy = -18.8 eV per formula unit
Space-group type = P4/mmm (123)
E_form = 1.923 eV/atom
Calculated volume = 177.7 Å³ per cell
N(E_F) = 11.07 states/eV/f.u.

a b c (Å): 6.4782 4.2353 6.4782
angles (deg): 90.00 90.00 90.00
Last column: magnetic moment on the atom in μB.
Element x y z (fractional)
B1 0.0000 0.0000 0.0000  -0.04
Cs1 0.5000 0.0000 0.0000  0.03
Cs2 0.0000 0.0000 0.5000  0.03
Nb1 0.0000 0.5000 0.0000  1.09
Hf1 0.5000 0.5000 0.5000  0.34

[4]
Here is an optimized crystal structure of Nd3Ho4Zn4 from Alexandria via LeMat-Bulk. Energies are from PBE.

Values from the calculation:
Size of the total moment = 0.0 Bohr magnetons per cell
Uncorrected energy = -39.2 eV per formula unit
Space-group type = Immm (71)
E_form = -0.139 eV/atom
Calculated volume = 296.1 Å³ per cell
N(E_F) = 11.07 states/eV/f.u.

a b c (Å): 4.8895 7.6602 9.1177
angles (deg): 114.84 105.55 90.00
Element x y z (fractional)
Zn1 0.2071 0.7071 0.4142
Zn2 0.7929 0.2929 0.5858
Zn3 0.5000 0.1711 0.0000
Zn4 0.5000 0.8289 0.0000
Ho1 0.6734 0.4586 0.3468
Ho2 0.6734 0.8882 0.3468
Ho3 0.3266 0.5414 0.6532
Ho4 0.3266 0.1118 0.6532
Nd1 0.1109 0.1109 0.2217
Nd2 0.0000 0.5000 0.0000
Nd3 0.8891 0.8891 0.7783

[5]
Here is an optimized crystal structure of CoOs3N from Alexandria via LeMat-Bulk. Energies are from PBE.

Values from the calculation:
Size of the total moment = 2.9 Bohr magnetons per cell
Uncorrected energy = -33.5 eV per formula unit
Space-group type = Pm-3m (221)
Energy relative to the lowest polymorph listed for this composition = 2391 meV per atom
Calculated volume = 84.8 Å³ per cell
N(E_F) = 7.96 states/eV/f.u.

a b c (Å): 4.3928 4.3928 4.3928
angles (deg): 90.00 90.00 90.00
Last column: magnetic moment on the atom in μB.
Element x y z (fractional)
Os1 0.5000 0.0000 0.0000  0.58
Os2 0.0000 0.0000 0.5000  0.82
Os3 0.0000 0.5000 0.0000  0.78
Co1 0.0000 0.0000 0.0000  0.81
N1 0.5000 0.5000 0.5000  -0.22

[6]
Here is an optimized crystal structure of YBeGaAu2 from Alexandria via LeMat-Bulk. Energies are from PBE.

Values from the calculation:
Size of the total moment = 0.0 Bohr magnetons per cell
Uncorrected energy = -21.5 eV per formula unit
Space-group type = P4/mmm (123)
E_form = -0.353 eV/atom
Calculated volume = 93.8 Å³ per cell
N(E_F) = 2.06 states/eV/f.u.

a b c (Å): 4.5941 4.5941 4.4438
angles (deg): 90.00 90.00 90.00
Element x y z (fractional)
Au1 0.5000 0.0000 0.0000
Au2 0.0000 0.5000 0.0000
Ga1 0.0000 0.0000 0.5000
Y1 0.5000 0.5000 0.5000
Be1 0.0000 0.0000 0.0000

[7]
Here is an optimized crystal structure of VHg2AsSe from Alexandria via LeMat-Bulk. Energies are from PBE.

Values from the calculation:
Size of the total moment = 1.5 Bohr magnetons per cell
Uncorrected energy = -14.9 eV per formula unit
Space-group type = P4/mmm (123)
Calculated volume = 131.7 Å³ per cell
N(E_F) = 6.47 states/eV/f.u.

a b c (Å): 5.3777 4.5528 5.3777
angles (deg): 90.00 90.00 90.00
Last column: magnetic moment on the atom in μB.
Element x y z (fractional)
V1 0.0000 0.0000 0.0000  0.18
As1 0.5000 0.5000 0.5000  0.59
Hg1 0.0000 0.0000 0.5000  0.02
Hg2 0.5000 0.0000 0.0000  0.02
Se1 0.0000 0.5000 0.0000  0.01

[8]
Here is an optimized crystal structure of Pm2Dy8Tc from Alexandria via LeMat-Bulk. Energies are from PBE.

Values from the calculation:
Size of the total moment = 0.0 Bohr magnetons per cell
Uncorrected energy = -56.4 eV per formula unit
Space-group type = C2/m (12)
E_form = 0.025 eV/atom
Calculated volume = 333.1 Å³ per cell
N(E_F) = 16.14 states/eV/f.u.

a b c (Å): 5.4808 6.6408 9.5621
angles (deg): 87.71 106.65 90.00
Element x y z (fractional)
Dy1 0.1602 0.8342 0.3205
Dy2 0.3568 0.8797 0.7137
Dy3 0.4208 0.3760 0.8415
Dy4 0.8398 0.1658 0.6795
Dy5 0.5792 0.6240 0.1585
Dy6 0.0337 0.2348 0.0674
Dy7 0.6432 0.1203 0.2863
Dy8 0.9663 0.7652 0.9326
Tc1 0.5000 0.0000 0.0000
Pm1 0.7713 0.6670 0.5427
Pm2 0.2287 0.3330 0.4573

[9]
Here is an optimized crystal structure of Zn7RhAu2 from Alexandria via LeMat-Bulk. Energies are from PBE.

Values from the calculation:
Size of the total moment = 0.0 Bohr magnetons per cell
Uncorrected energy = -19.3 eV per formula unit
Space-group type = Fm-3m (225)
E_form = 0.348 eV/atom
Calculated volume = 206.7 Å³ per cell
N(E_F) = 5.05 states/eV/f.u.

a b c (Å): 6.6369 6.6369 6.6369
angles (deg): 60.00 60.00 60.00
Element x y z (fractional)
Rh1 0.0000 0.0000 0.0000
Zn1 0.7488 0.7488 0.2512
Zn2 0.2512 0.7488 0.2512
Zn3 0.5000 0.5000 0.5000
Zn4 0.7488 0.2512 0.2512
Zn5 0.2512 0.7488 0.7488
Zn6 0.2512 0.2512 0.7488
Zn7 0.7488 0.2512 0.7488
Au1 0.7500 0.7500 0.7500
Au2 0.2500 0.2500 0.2500

[10]
Here is an optimized crystal structure of CaH2O2 from Alexandria via LeMat-Bulk. Energies are from PBE.

Values from the calculation:
Size of the total moment = 0.0 Bohr magnetons per cell
Uncorrected energy = -28.0 eV per formula unit
Space-group type = P2_1/c (14)
Energy relative to the lowest polymorph listed for this composition = 33 meV per atom
Calculated volume = 197.4 Å³ per cell
N(E_F) = 0.00 states/eV/f.u.

a b c (Å): 6.1341 5.5161 6.0621
angles (deg): 74.18 90.00 90.00
Element x y z (fractional)
Ca1 0.9257 0.6884 0.1821
Ca2 0.4257 0.3116 0.3179
Ca3 0.0743 0.3116 0.8179
Ca4 0.5743 0.6884 0.6821
H1 0.9993 0.8777 0.7022
H2 0.2186 0.7692 0.4219
H3 0.0007 0.1223 0.2978
H4 0.7814 0.2308 0.5781
H5 0.2814 0.7692 0.9219
H6 0.5007 0.8777 0.2022
H7 0.4993 0.1223 0.7978
H8 0.7186 0.2308 0.0781
O1 0.7438 0.4120 0.0019
O2 0.7562 0.4120 0.5019
O3 0.3751 0.0636 0.7254
O4 0.2562 0.5880 0.9981
O5 0.8751 0.9364 0.7746
O6 0.2438 0.5880 0.4981
O7 0.6249 0.9364 0.2746
O8 0.1249 0.0636 0.2254

[11]
Here is an optimized crystal structure of TaBi3F from Alexandria via LeMat-Bulk. Energies are from PBE.

Values from the calculation:
Size of the total moment = 0.0 Bohr magnetons per cell
Uncorrected energy = -24.9 eV per formula unit
Space-group type = Pm-3m (221)
Energy relative to the lowest polymorph listed for this composition = 0 meV per atom
Calculated volume = 160.8 Å³ per cell
N(E_F) = 3.29 states/eV/f.u.

a b c (Å): 5.4374 5.4374 5.4374
angles (deg): 90.00 90.00 90.00
Element x y z (fractional)
Ta1 0.0000 0.0000 0.0000
Bi1 0.5000 0.0000 0.0000
Bi2 0.0000 0.0000 0.5000
Bi3 0.0000 0.5000 0.0000
F1 0.5000 0.5000 0.5000

[12]
Here is an optimized crystal structure of LiPa2Rh9 from Alexandria via LeMat-Bulk. Energies are from PBE.

Values from the calculation:
Size of the total moment = 0.0 Bohr magnetons per cell
Uncorrected energy = -94.4 eV per formula unit
Space-group type = P4/mmm (123)
E_form = -0.607 eV/atom
Calculated volume = 188.9 Å³ per cell
N(E_F) = 9.94 states/eV/f.u.

a b c (Å): 4.0353 4.0353 11.5995
angles (deg): 90.00 90.00 90.00
Element x y z (fractional)
Rh1 0.5000 0.0000 0.1516
Rh2 0.0000 0.5000 0.8484
Rh3 0.0000 0.5000 0.1516
Rh4 0.5000 0.5000 0.0000
Rh5 0.0000 0.5000 0.5000
Rh6 0.5000 0.5000 0.3262
Rh7 0.5000 0.0000 0.5000
Rh8 0.5000 0.5000 0.6738
Rh9 0.5000 0.0000 0.8484
Pa1 0.0000 0.0000 0.3225
Pa2 0.0000 0.0000 0.6775
Li1 0.0000 0.0000 0.0000

[13]
Here is an optimized crystal structure of ZrPd2Pt2 from Alexandria via LeMat-Bulk. Energies are from PBE.

Values from the calculation:
Size of the total moment = 0.0 Bohr magnetons per cell
Uncorrected energy = -31.0 eV per formula unit
Space-group type = I4/mmm (139)
Energy relative to the lowest polymorph listed for this composition = 460 meV per atom
E_form = 0.004 eV/atom
Calculated volume = 96.2 Å³ per cell
N(E_F) = 5.23 states/eV/f.u.

a b c (Å): 4.9949 4.9949 5.2290
angles (deg): 118.53 118.53 90.00
Element x y z (fractional)
Pt1 0.7500 0.2500 0.5000
Pt2 0.2500 0.7500 0.5000
Pd1 0.3402 0.3402 0.6804
Pd2 0.6598 0.6598 0.3196
Zr1 0.0000 0.0000 0.0000

[14]
Here is an optimized crystal structure of LiAc2Pt from Alexandria via LeMat-Bulk. Energies are from PBE.

Values from the calculation:
Size of the total moment = 0.0 Bohr magnetons per cell
Uncorrected energy = -18.1 eV per formula unit
Space-group type = P4/mmm (123)
E_form = -0.488 eV/atom
Calculated volume = 121.0 Å³ per cell
N(E_F) = 4.72 states/eV/f.u.

a b c (Å): 3.8991 3.8991 7.9568
angles (deg): 90.00 90.00 90.00
Element x y z (fractional)
Ac1 0.0000 0.0000 0.7803
Ac2 0.0000 0.0000 0.2197
Pt1 0.5000 0.5000 0.0000
Li1 0.5000 0.5000 0.5000

[15]
Here is an optimized crystal structure of KTb2CuO5 from Alexandria via LeMat-Bulk. Energies are from PBE.

Values from the calculation:
Size of the total moment = 4.1 Bohr magnetons per cell
Uncorrected energy = -59.6 eV per formula unit
Space-group type = I4/mcm (140)
Calculated volume = 246.3 Å³ per cell
N(E_F) = 1.20 states/eV/f.u.

a b c (Å): 6.5637 6.5637 7.3644
angles (deg): 116.46 116.46 90.00
Last column: magnetic moment on the atom in μB.
Element x y z (fractional)
Tb1 0.3253 0.8253 0.0000  0.03
Tb2 0.8253 0.6747 0.0000  0.03
Tb3 0.1747 0.3253 0.0000  0.03
Tb4 0.6747 0.1747 0.0000  0.03
O1 0.7583 0.9900 0.2483  0.24
O2 0.2583 0.7583 0.2483  0.24
O3 0.5000 0.5000 0.0000  0.14
O4 0.9900 0.4900 0.2483  0.24
O5 0.0000 0.0000 0.0000  0.14
O6 0.0100 0.5100 0.7517  0.24
O7 0.2417 0.0100 0.7517  0.24
O8 0.5100 0.7417 0.7517  0.24
O9 0.7417 0.2417 0.7517  0.24
O10 0.4900 0.2583 0.2483  0.24
K1 0.7500 0.7500 0.5000  0.00
K2 0.2500 0.2500 0.5000  0.00
Cu1 0.2500 0.7500 0.5000  0.75
Cu2 0.7500 0.2500 0.5000  0.75

[16]
Here is an optimized crystal structure of Ti2Tl3F9 from Alexandria via LeMat-Bulk. Energies are from PBE.

Values from the calculation:
Size of the total moment = 4.1 Bohr magnetons per cell
Uncorrected energy = -77.0 eV per formula unit
Space-group type = R-3c (167)
Calculated volume = 489.2 Å³ per cell
N(E_F) = 9.01 states/eV/f.u.

a b c (Å): 7.8936 7.8936 7.8936
angles (deg): 86.49 86.49 86.49
Last column: magnetic moment on the atom in μB.
Element x y z (fractional)
F1 0.0940 0.9383 0.2515  0.00
F2 0.5940 0.7515 0.4383  0.00
F3 0.6017 0.8983 0.7500  0.02
F4 0.5617 0.4060 0.2485  0.00
F5 0.9383 0.2515 0.0940  0.00
F6 0.2485 0.5617 0.4060  0.00
F7 0.8983 0.7500 0.6017  0.02
F8 0.2500 0.3983 0.1017  0.02
F9 0.9060 0.0617 0.7485  0.00
F10 0.7515 0.4383 0.5940  0.00
F11 0.0617 0.7485 0.9060  0.00
F12 0.2515 0.0940 0.9383  0.00
F13 0.7500 0.6017 0.8983  0.02
F14 0.4060 0.2485 0.5617  0.00
F15 0.7485 0.9060 0.0617  0.00
F16 0.3983 0.1017 0.2500  0.02
F17 0.4383 0.5940 0.7515  0.00
F18 0.1017 0.2500 0.3983  0.02
Tl1 0.5995 0.2500 0.9005  0.00
Tl2 0.7500 0.0995 0.4005  0.00
Tl3 0.2500 0.9005 0.5995  0.00
Tl4 0.0995 0.4005 0.7500  0.00
Tl5 0.4005 0.7500 0.0995  0.00
Tl6 0.9005 0.5995 0.2500  0.00
Ti1 0.1569 0.1569 0.1569  0.89
Ti2 0.8431 0.8431 0.8431  0.89
Ti3 0.6569 0.6569 0.6569  0.89
Ti4 0.3431 0.3431 0.3431  0.89

[17]
Here is an optimized crystal structure of P2PdRh from Alexandria via LeMat-Bulk. Energies are from PBE.

Values from the calculation:
Size of the total moment = 0.0 Bohr magnetons per cell
Uncorrected energy = -23.7 eV per formula unit
Space-group type = Fm-3m (225)
Energy relative to the lowest polymorph listed for this composition = 180 meV per atom
E_form = -0.090 eV/atom
Calculated volume = 56.1 Å³ per cell
N(E_F) = 3.29 states/eV/f.u.

a b c (Å): 4.2960 4.2960 4.2960
angles (deg): 60.00 60.00 60.00
Element x y z (fractional)
P1 0.7500 0.7500 0.7500
P2 0.2500 0.2500 0.2500
Pd1 0.5000 0.5000 0.5000
Rh1 0.0000 0.0000 0.0000

[18]
Here is an optimized crystal structure of CaMgSb3 from Alexandria via LeMat-Bulk. Energies are from PBE.

Values from the calculation:
Size of the total moment = 0.0 Bohr magnetons per cell
Uncorrected energy = -13.4 eV per formula unit
Space-group type = Pm-3m (221)
Energy relative to the lowest polymorph listed for this composition = 463 meV per atom
Calculated volume = 184.4 Å³ per cell
N(E_F) = 3.90 states/eV/f.u.

a b c (Å): 5.6915 5.6915 5.6915
angles (deg): 90.00 90.00 90.00
Element x y z (fractional)
Sb1 0.5000 0.0000 0.0000
Sb2 0.0000 0.5000 0.0000
Sb3 0.0000 0.0000 0.5000
Ca1 0.0000 0.0000 0.0000
Mg1 0.5000 0.5000 0.5000

[19]
Here is an optimized crystal structure of BaGaHg2O4 from Alexandria via LeMat-Bulk. Energies are from PBE.

Values from the calculation:
Size of the total moment = 0.0 Bohr magnetons per cell
Uncorrected energy = -35.7 eV per formula unit
Space-group type = I222 (23)
Calculated volume = 136.4 Å³ per cell
N(E_F) = 0.99 states/eV/f.u.

a b c (Å): 6.2008 5.6403 5.6403
angles (deg): 77.97 56.65 56.65
Element x y z (fractional)
O1 0.0007 0.4747 0.1692
O2 0.3554 0.1692 0.4747
O3 0.6446 0.5253 0.8308
O4 0.9993 0.8308 0.5253
Ga1 0.0000 0.5000 0.5000
Ba1 0.0000 0.0000 0.0000
Hg1 0.5000 0.2524 0.7476
Hg2 0.5000 0.7476 0.2524

[20]
Here is an optimized crystal structure of GdLuRu2 from Alexandria via LeMat-Bulk. Energies are from PBE.

Values from the calculation:
Size of the total moment = 6.9 Bohr magnetons per cell
Uncorrected energy = -38.6 eV per formula unit
Space-group type = P4/mmm (123)
Energy relative to the lowest polymorph listed for this composition = 0 meV per atom
E_form = -0.354 eV/atom
Calculated volume = 77.2 Å³ per cell
N(E_F) = 4.74 states/eV/f.u.

a b c (Å): 3.3772 3.3772 6.7650
angles (deg): 90.00 90.00 90.00
Last column: magnetic moment on the atom in μB.
Element x y z (fractional)
Lu1 0.5000 0.5000 0.0000  0.01
Ru1 0.0000 0.0000 0.2436  -0.12
Ru2 0.0000 0.0000 0.7564  -0.12
Gd1 0.5000 0.5000 0.5000  7.00